Entry 1:
Material: BeHgF2
Method: DFT, PBE-GGA
State: optimized geometry

Results
**Calculated total energy**: -4.149 eV/atom
**Energy above the most stable polymorph in this dataset**: 0.0 meV/atom

Cell lengths 5.378, 5.378, 5.378 Å; angles 60.00, 60.00, 60.00 degrees
Fractional coordinates of all 8 atoms:
F 0.125 0.625 0.125
F 0.125 0.125 0.625
F 0.625 0.125 0.125
F 0.125 0.125 0.125
Hg 0.750 0.750 0.750
Hg 0.500 0.500 0.500
Be 0.000 0.000 0.000
Be 0.250 0.250 0.250

=====

Entry 2:
Material: BeHg2F
Method: DFT, PBE-GGA
State: optimized geometry

Results
**Calculated total energy**: -1.807 eV/atom
**D(E_F)**: 2.38 states/eV/cell
**Energy above the most stable polymorph in this dataset**: 0.0 meV/atom

Cell lengths 6.264, 6.264, 6.164 Å; angles 59.46, 59.46, 90.00 degrees
Fractional coordinates of all 8 atoms:
F 0.000 0.000 0.000
F 0.750 0.250 0.500
Hg 0.604 0.125 0.250
Hg 0.375 0.396 0.750
Hg 0.875 0.854 0.750
Hg 0.146 0.625 0.250
Be 0.500 0.500 0.000
Be 0.250 0.750 0.500

=====

Entry 3:
Material: Be2Hg2F7
Method: DFT, PBE-GGA
State: optimized geometry

Results
**Calculated total energy**: -4.215 eV/atom
**D(E_F)**: 2.39 states/eV/cell

Cell lengths 5.021, 5.753, 5.753 Å; angles 99.95, 95.13, 95.13 degrees
Fractional coordinates of all 11 atoms:
F 0.290 0.650 0.939
F 0.290 0.939 0.650
F 0.133 0.343 0.343
F 0.867 0.657 0.657
F 0.000 0.000 0.000
F 0.710 0.350 0.061
F 0.710 0.061 0.350
Hg 0.500 0.333 0.667
Hg 0.500 0.667 0.333
Be 0.109 0.812 0.812
Be 0.891 0.188 0.188

=====

Entry 4:
Material: KBe2HgF8
Method: DFT, PBE-GGA
State: optimized geometry

Results
**Calculated total energy**: -4.445 eV/atom
**D(E_F)**: 6.25 states/eV/cell

Cell lengths 4.902, 4.902, 8.182 Å; angles 85.80, 85.80, 69.15 degrees
Fractional coordinates of all 12 atoms:
K 0.000 0.000 0.500
Hg 0.000 0.000 0.000
F 0.731 0.731 0.054
F 0.260 0.728 0.787
F 0.740 0.272 0.213
F 0.269 0.269 0.946
F 0.695 0.695 0.381
F 0.728 0.260 0.787
F 0.305 0.305 0.619
F 0.272 0.740 0.213
Be 0.385 0.385 0.778
Be 0.615 0.615 0.222

=====

Entry 5:
Material: K2BeHgF6
Method: DFT, PBE-GGA
State: optimized geometry

Results
**Calculated total energy**: -4.176 eV/atom
**D(E_F)**: 0.00 states/eV/cell

Cell lengths 5.826, 5.826, 5.834 Å; angles 60.01, 60.01, 90.01 degrees
Fractional coordinates of all 10 atoms:
F 0.718 0.718 0.563
F 0.282 0.719 0.000
F 0.280 0.281 0.001
F 0.718 0.281 0.000
F 0.720 0.719 0.999
F 0.282 0.282 0.437
K 0.250 0.750 0.500
K 0.750 0.250 0.500
Hg 0.000 0.000 0.000
Be 0.500 0.500 0.000